Run 1
Compound: Ti2HgBr
Source: Alexandria
Functional: PBE
Structure: relaxed

Cell: 4.2823 4.2823 19.0268 Å, 90.00 90.00 90.00°
Sites, in units of the cell vectors:
Ti 0.2399 0.2500 0.1250
Ti 0.2500 0.7399 0.3750
Ti 0.2500 0.7601 0.8750
Ti 0.2601 0.2500 0.6250
Ti 0.7399 0.7500 0.6250
Ti 0.7500 0.2399 0.8750
Ti 0.7500 0.2601 0.3750
Ti 0.7601 0.7500 0.1250
Hg 0.0000 0.0000 0.5000
Hg 0.0000 0.5000 0.7500
Hg 0.5000 0.0000 0.2500
Hg 0.5000 0.5000 0.0000
Br 0.0000 0.0000 0.0000
Br 0.0000 0.5000 0.2500
Br 0.5000 0.0000 0.7500
Br 0.5000 0.5000 0.5000

Computed properties:
Size of the total moment   0.01 μB/cell

=====

Run 2
Compound: Ti2HgBr
Source: Alexandria
Functional: PBE
Structure: relaxed

Cell: 6.7107 6.7107 6.7107 Å, 90.00 90.00 90.00°
Sites, in units of the cell vectors:
Ti 0.2500 0.2500 0.2500
Ti 0.2500 0.2500 0.7500
Ti 0.2500 0.7500 0.2500
Ti 0.2500 0.7500 0.7500
Ti 0.7500 0.2500 0.2500
Ti 0.7500 0.2500 0.7500
Ti 0.7500 0.7500 0.2500
Ti 0.7500 0.7500 0.7500
Hg 0.0000 0.0000 0.0000
Hg 0.0000 0.5000 0.5000
Hg 0.5000 0.0000 0.5000
Hg 0.5000 0.5000 0.0000
Br 0.0000 0.0000 0.5000
Br 0.0000 0.5000 0.0000
Br 0.5000 0.0000 0.0000
Br 0.5000 0.5000 0.5000

Computed properties:
Size of the total moment   3.67 μB/cell

=====

Stability check: which of them is most stable? run 2.